Record 1
VASP calculation (PBE) on crystalline Ac6P2Rh3I at its relaxed geometry.

Structure (extended XYZ):
```
12
Lattice="-0.2260 -0.5087 -4.3134 7.1945 -5.7162 0.2972 -7.8199 -5.3620 3.2346" Properties=species:S:1:pos:R:3 pbc="T T T"
Ac 1.5134 -8.7943 0.9578
Ac 1.4402 -5.4580 -1.6244
Ac -2.3647 -2.7926 -1.7394
Ac -5.9801 -7.4793 -0.9973
Ac 5.1287 -4.1076 0.2157
Ac -2.2916 -6.1289 0.8428
P -0.5804 -7.8730 -1.2337
P -0.2710 -3.7139 0.4522
Rh 3.4843 -3.1124 -2.0081
Rh -4.2149 -5.0154 -1.3803
Rh 3.3636 -6.5716 0.5988
I -0.1130 -0.2543 -2.1567
```

Properties
Space-group type: C2/m (12)
E_tot in eV per atom: -5.847
E_form (uncorrected) in eV/atom: -0.925


Record 2
VASP calculation (PBE) on crystalline La3Pm2Dy3 at its relaxed geometry.

Structure (extended XYZ):
```
8
Lattice="5.1018 0.0000 0.0000 0.0000 5.1779 0.0000 -2.5509 -2.5890 10.3801" Properties=species:S:1:pos:R:3 pbc="T T T"
La 2.5509 2.5890 2.5535
La 0.0000 0.0000 7.8266
La 2.5509 0.0000 0.0000
Pm 2.5509 0.0000 5.1664
Pm 0.0000 2.5890 5.2137
Dy 0.0000 0.0000 2.6249
Dy 0.0000 2.5890 0.0000
Dy 2.5509 2.5890 7.7552
```

Properties
Space-group type: Immm (71)
E_tot in eV per atom: -4.736
ΔH_f (0 K) in eV per atom: 0.025


Record 3
VASP calculation (PBE) on crystalline Tb2PmSmTe6 at its relaxed geometry.

Structure (extended XYZ):
```
10
Lattice="-6.7642 -0.4758 3.8686 -6.1271 -3.5612 -3.2743 -2.2351 -7.5077 3.0432" Properties=species:S:1:pos:R:3 pbc="T T T"
Tb -7.6203 -5.6021 1.7401
Tb -2.2893 -7.3460 2.9685
Pm -11.7800 -7.3580 2.1278
Sm -4.2204 -1.5746 0.3038
Te -6.1096 -2.9881 2.3522
Te -7.6987 -5.2130 -1.3146
Te -10.4356 -4.4708 2.2738
Te -8.9115 -8.4267 1.4495
Te -7.3193 -6.3706 4.7482
Te -4.9192 -7.1214 1.3835
```

Properties
Space-group type: R3 (146)
E_tot in eV per atom: -5.132
E_form (uncorrected) in eV/atom: -1.374


Record 4
VASP calculation (PBE) on crystalline PmSmBeAg at its relaxed geometry.

Structure (extended XYZ):
```
4
Lattice="-2.9846 2.2278 -3.5398 -4.3695 -2.2676 -1.4722 -4.5260 2.0186 1.3573" Properties=species:S:1:pos:R:3 pbc="T T T"
Be -8.9100 1.4841 -2.7411
Ag -2.9700 0.4947 -0.9137
Sm -5.9400 0.9894 -1.8274
Pm 0.0000 0.0000 0.0000
```

Properties
Space-group type: F-43m (216)
E_tot in eV per atom: -4.016
ΔH_f (0 K) in eV per atom: -0.004


Record 5
VASP calculation (PBE) on crystalline Y2ZrOsS at its relaxed geometry.

Structure (extended XYZ):
```
5
Lattice="5.5461 0.0000 0.0000 0.0000 4.6501 0.0000 0.0000 0.0000 5.5461" Properties=species:S:1:pos:R:3 pbc="T T T"
Y 0.0000 0.0000 2.7730
Y 2.7730 0.0000 0.0000
S 0.0000 2.3250 0.0000
Os 2.7730 2.3250 2.7730
Zr 0.0000 0.0000 0.0000
```

Properties
Space-group type: P4/mmm (123)
E_tot in eV per atom: -6.317
E_form (uncorrected) in eV/atom: 1.050


Q: E_tot of number 2 (La3Pm2Dy3)?
A: -4.736 eV per atom


Q: Look up the E_tot of the second one.
A: -4.736 eV per atom


Q: Which of these has the highest E_tot?
A: PmSmBeAg


Q: Which of these has the lowest E_tot?
A: Y2ZrOsS